Record 1
The following is a PBE-GGA calculation of a relaxed Ta2Ti4Pb crystal, from the Alexandria database.

Properties
D(E_F) = 1.444 states/eV per atom
Calculated formation energy = 0.660 eV per atom
Volume = 21.30 Å³ per atom
Electronic total energy = -7.768 eV per atom

The structure in extended XYZ format:
```
7
Lattice="-0.227 -4.580 -1.451 3.114 1.284 3.432 -5.150 -1.390 5.193" Properties=species:S:1:pos:R:3 pbc="T T T"
Ta -3.866 -3.908 4.969
Ta 1.604 -0.778 2.204
Ti -0.380 -2.967 1.455
Ti -1.882 -1.719 5.719
Ti -2.118 -3.436 3.206
Ti -0.145 -1.250 3.967
Pb -2.575 -0.695 2.596
```

---

Record 2
The following is a PBE-GGA calculation of a relaxed TaTlPb3 crystal, from the Alexandria database.

Properties
ΔE to the lowest computed polymorph = 1179.5 meV/atom
D(E_F) = 1.817 states/eV per atom
Calculated formation energy = 1.594 eV per atom
Volume = 37.39 Å³ per atom
Electronic total energy = -3.475 eV per atom

The structure in extended XYZ format:
```
5
Lattice="5.718 0.000 0.000 0.000 5.718 0.000 0.000 0.000 5.718" Properties=species:S:1:pos:R:3 pbc="T T T"
Pb 0.000 2.859 0.000
Pb 0.000 0.000 2.859
Pb 2.859 0.000 0.000
Tl 0.000 0.000 0.000
Ta 2.859 2.859 2.859
```

---

Record 3
The following is a PBE-GGA calculation of a relaxed Ta4TlPb crystal, from the Alexandria database.

Properties
D(E_F) = 0.806 states/eV per atom
Calculated formation energy = 0.579 eV per atom
Volume = 21.17 Å³ per atom
Electronic total energy = -8.336 eV per atom

The structure in extended XYZ format:
```
6
Lattice="0.585 -5.460 1.296 -2.010 -1.970 4.890 -4.510 -3.390 0.035" Properties=species:S:1:pos:R:3 pbc="T T T"
Ta -1.936 -6.784 2.982
Ta -4.477 -5.752 2.353
Ta -3.230 -5.044 4.774
Ta -2.228 -4.061 2.335
Tl -4.451 -8.116 4.666
Pb 0.000 0.000 0.000
```

---

Record 4
The following is a PBE-GGA calculation of a relaxed Ta3TlPb crystal, from the Alexandria database.

Properties
ΔE to the lowest computed polymorph = 0.0 meV/atom
D(E_F) = 2.386 states/eV per atom
Calculated formation energy = 2.182 eV per atom
Volume = 26.92 Å³ per atom
Electronic total energy = -6.145 eV per atom

The structure in extended XYZ format:
```
5
Lattice="-0.503 1.720 -4.801 0.720 -4.752 -1.778 -5.049 -0.849 0.225" Properties=species:S:1:pos:R:3 pbc="T T T"
Pb -2.416 -1.941 -3.177
Tl 0.000 0.000 0.000
Ta 0.360 -2.376 -0.889
Ta -2.524 -0.425 0.113
Ta -0.252 0.860 -2.401
```

---

> Which of these has the highest D(E_F)?

Ta3TlPb